This record from Alexandria describes crystalline Na2FeGeO4 at its relaxed geometry. The functional is GGA+U.

## Properties
For the raw total energy, the calculation gives -5.77 eV/atom. The calculated density is 3.7 g/cm³.

Lattice parameters (Å, degrees): 5.278 5.278 5.278 117.03 117.03 95.23
Atoms (fractional coordinates):
Na 0.000 0.000 0.000
Na 0.750 0.250 0.500
Fe 0.500 0.500 0.000
Ge 0.250 0.750 0.500
O 0.214 0.676 0.117
O 0.324 0.441 0.538
O 0.559 0.097 0.883
O 0.903 0.786 0.462